No. 1
This record from the Alexandria database describes a relaxed Mg2ReRh crystal. The functional is PBE-GGA.

a b c (Å): 9.129 9.129 9.129
angles (deg): 17.96 17.96 17.96
Each line ends with the local moment (μB).
Element x y z (fractional)
Rh (0.750, 0.750, 0.750)  0.32
Re (0.250, 0.250, 0.250)  0.03
Mg (0.496, 0.496, 0.496)  0.00
Mg (0.004, 0.004, 0.004)  0.00

Computed properties:
The electronic total energy comes out at -5.692 eV/atom. The value obtained for the mass density is 8.881 g cm⁻³. As for the space group: No. 166. The value obtained for the formation energy is 5.4 kJ per mole of atoms. The total moment is 0.35 Bohr magnetons per cell. The calculation puts the density of states at the Fermi level at 0.957 states/eV/atom.

---

No. 2
This record from the Alexandria database describes a relaxed MgBi2Pd9 crystal. The functional is PBE-GGA.

a b c (Å): 4.084 4.084 12.212
angles (deg): 90.00 90.00 90.00
Element x y z (fractional)
Pd (0.500, 0.000, 0.500)
Pd (0.000, 0.500, 0.500)
Pd (0.500, 0.500, 0.000)
Pd (0.500, 0.000, 0.842)
Pd (0.500, 0.500, 0.666)
Pd (0.500, 0.500, 0.334)
Pd (0.000, 0.500, 0.842)
Pd (0.500, 0.000, 0.158)
Pd (0.000, 0.500, 0.158)
Mg (0.000, 0.000, 0.000)
Bi (0.000, 0.000, 0.322)
Bi (0.000, 0.000, 0.678)

Computed properties:
The electronic total energy comes out at -5.022 eV/atom. The value obtained for the mass density is 11.415 g cm⁻³. As for the space group: No. 123. The value obtained for the formation energy is -33.6 kJ per mole of atoms. The total moment is 0.00 Bohr magnetons per cell. The calculation puts the density of states at the Fermi level at 0.431 states/eV/atom.

---

No. 3
This record from the Alexandria database describes a relaxed La5PmMg4 crystal. The functional is PBE-GGA.

a b c (Å): 3.907 3.907 21.097
angles (deg): 90.00 90.00 90.00
Element x y z (fractional)
Mg (0.000, 0.000, 0.787)
Mg (0.000, 0.000, 0.405)
Mg (0.000, 0.000, 0.213)
Mg (0.000, 0.000, 0.595)
La (0.500, 0.500, 0.118)
La (0.500, 0.500, 0.310)
La (0.500, 0.500, 0.500)
La (0.500, 0.500, 0.882)
La (0.500, 0.500, 0.690)
Pm (0.000, 0.000, 0.000)

Computed properties:
The electronic total energy comes out at -3.658 eV/atom. The value obtained for the mass density is 4.829 g cm⁻³. As for the space group: No. 123. The value obtained for the formation energy is -7.8 kJ per mole of atoms. The total moment is 0.00 Bohr magnetons per cell. The calculation puts the density of states at the Fermi level at 1.183 states/eV/atom.

---

No. 4
This record from the Alexandria database describes a relaxed Hf2VMo2 crystal. The functional is PBE-GGA.

a b c (Å): 6.417 6.417 4.521
angles (deg): 90.00 90.00 90.00
Element x y z (fractional)
Hf (0.172, 0.672, 0.500)
Hf (0.828, 0.328, 0.500)
Hf (0.672, 0.828, 0.500)
Hf (0.328, 0.172, 0.500)
Mo (0.855, 0.645, 0.000)
Mo (0.355, 0.855, 0.000)
Mo (0.145, 0.355, 0.000)
Mo (0.645, 0.145, 0.000)
V (0.500, 0.500, 0.000)
V (0.000, 0.000, 0.000)

Computed properties:
The electronic total energy comes out at -9.947 eV/atom. The value obtained for the mass density is 10.699 g cm⁻³. As for the space group: No. 127. The value obtained for the formation energy is 18.3 kJ per mole of atoms. The total moment is 0.00 Bohr magnetons per cell. The calculation puts the density of states at the Fermi level at 1.120 states/eV/atom.

---

No. 5
This record from the Alexandria database describes a relaxed Y2BeCuH crystal. The functional is PBE-GGA.

a b c (Å): 4.892 4.892 3.470
angles (deg): 90.00 90.00 90.00
Element x y z (fractional)
Y (0.500, 0.000, 0.000)
Y (0.000, 0.500, 0.000)
Be (0.000, 0.000, 0.500)
Cu (0.500, 0.500, 0.500)
H (0.000, 0.000, 0.000)

Computed properties:
The electronic total energy comes out at -4.977 eV/atom. The value obtained for the mass density is 5.027 g cm⁻³. As for the space group: No. 123. The total moment is 0.00 Bohr magnetons per cell. The calculation puts the density of states at the Fermi level at 0.712 states/eV/atom.